The following is a PBE-GGA calculation of a geometry-optimized Sm5ZnGa4 structure, from Alexandria.

```
data_Sm5ZnGa4
_chemical_formula_sum 'Sm5 Zn1 Ga4'
_symmetry_space_group_name_H-M 'P 4/m m m'
_symmetry_Int_Tables_number 123
_symmetry_space_group_name_Hall '-P 4 2'
_cell_length_a 3.645
_cell_length_b 3.645
_cell_length_c 18.304
_cell_angle_alpha 90.00
_cell_angle_beta 90.00
_cell_angle_gamma 90.00
loop_
_atom_site_label
_atom_site_fract_x
_atom_site_fract_y
_atom_site_fract_z
_atom_site_occupancy
Sm1 0.000 0.000 0.000 1
Sm2 0.000 0.000 0.200 1
Sm3 0.000 0.000 0.401 1
Zn1 0.500 0.500 0.500 1
Ga1 0.500 0.500 0.100 1
Ga2 0.500 0.500 0.302 1
```

Computed properties:
E ... -42.19 eV for the cell shown
D(E_F) ... 0.644 states/eV per atom
Mass density ... 7.48 Mg/m³


The following is a PBE-GGA calculation of a geometry-optimized Sm5Zn2Ga structure, from Alexandria.

```
data_Sm5Zn2Ga
_chemical_formula_sum 'Sm20 Zn8 Ga4'
_symmetry_space_group_name_H-M 'I 4/m c m'
_symmetry_Int_Tables_number 140
_symmetry_space_group_name_Hall '-I 4 2c'
_cell_length_a 7.519
_cell_length_b 7.519
_cell_length_c 15.398
_cell_angle_alpha 90.00
_cell_angle_beta 90.00
_cell_angle_gamma 90.00
loop_
_atom_site_label
_atom_site_fract_x
_atom_site_fract_y
_atom_site_fract_z
_atom_site_occupancy
Sm1 0.000 0.000 0.000 1
Sm2 0.169 0.331 0.152 1
Zn1 0.119 0.381 0.500 1
Ga1 0.000 0.000 0.250 1
```

Computed properties:
E ... -125.69 eV for the cell shown
D(E_F) ... 0.981 states/eV per atom
Mass density ... 7.27 Mg/m³


The following is a PBE-GGA calculation of a geometry-optimized Sm2Zn3Ga5 structure, from Alexandria.

```
data_Sm2Zn3Ga5
_chemical_formula_sum 'Sm8 Zn12 Ga20'
_symmetry_space_group_name_H-M 'I b a m'
_symmetry_Int_Tables_number 72
_symmetry_space_group_name_Hall '-I 2 2c'
_cell_length_a 10.728
_cell_length_b 11.938
_cell_length_c 5.944
_cell_angle_alpha 90.00
_cell_angle_beta 90.00
_cell_angle_gamma 90.00
loop_
_atom_site_label
_atom_site_fract_x
_atom_site_fract_y
_atom_site_fract_z
_atom_site_occupancy
Sm1 0.248 0.126 0.000 1
Zn1 0.000 0.500 0.250 1
Zn2 0.133 0.127 0.500 1
Ga1 0.000 0.000 0.250 1
Ga2 0.000 0.254 0.250 1
Ga3 0.141 0.380 0.000 1
```

Computed properties:
E ... -132.00 eV for the cell shown
D(E_F) ... 0.232 states/eV per atom
Mass density ... 7.38 Mg/m³


The following is a PBE-GGA calculation of a geometry-optimized Sm6ZnGa2 structure, from Alexandria.

```
data_Sm6ZnGa2
_chemical_formula_sum 'Sm24 Zn4 Ga8'
_symmetry_space_group_name_H-M 'I m m m'
_symmetry_Int_Tables_number 71
_symmetry_space_group_name_Hall '-I 2 2'
_cell_length_a 9.859
_cell_length_b 9.912
_cell_length_c 10.478
_cell_angle_alpha 90.00
_cell_angle_beta 90.00
_cell_angle_gamma 90.00
loop_
_atom_site_label
_atom_site_fract_x
_atom_site_fract_y
_atom_site_fract_z
_atom_site_occupancy
Sm1 0.000 0.208 0.174 1
Sm2 0.175 0.232 0.500 1
Sm3 0.196 0.500 0.252 1
Zn1 0.000 0.500 0.000 1
Zn2 0.000 0.500 0.500 1
Ga1 0.000 0.000 0.378 1
Ga2 0.146 0.000 0.000 1
```

Computed properties:
E ... -153.88 eV for the cell shown
D(E_F) ... 1.137 states/eV per atom
Energy above the lowest structure with this stoichiometry ... 0.0 meV per atom
Mass density ... 7.18 Mg/m³


The following is a PBE-GGA calculation of a geometry-optimized Sm3Zn6Ga5 structure, from Alexandria.

```
data_Sm3Zn6Ga5
_chemical_formula_sum 'Sm6 Zn12 Ga10'
_symmetry_space_group_name_H-M 'P m m n'
_symmetry_Int_Tables_number 59
_cell_length_a 4.294
_cell_length_b 12.713
_cell_length_c 9.722
_cell_angle_alpha 90.00
_cell_angle_beta 90.00
_cell_angle_gamma 90.00
loop_
_symmetry_equiv_pos_as_xyz
'x,y,z'
'-x,-y,-z'
'-x+1/2,-y+1/2,z'
'x+1/2,y+1/2,-z'
'x+1/2,-y,-z'
'-x+1/2,y,z'
'-x,y+1/2,-z'
'x,-y+1/2,z'
loop_
_atom_site_label
_atom_site_fract_x
_atom_site_fract_y
_atom_site_fract_z
_atom_site_occupancy
Sm1 0.250 0.063 0.248 1
Sm2 0.250 0.750 0.251 1
Zn1 0.250 0.086 0.615 1
Zn2 0.250 0.250 0.036 1
Zn3 0.250 0.250 0.460 1
Zn4 0.250 0.601 0.981 1
Ga1 0.250 0.091 0.874 1
Ga2 0.250 0.612 0.526 1
Ga3 0.250 0.750 0.769 1
```

Computed properties:
E ... -86.60 eV for the cell shown
D(E_F) ... 0.366 states/eV per atom
Mass density ... 7.46 Mg/m³


The following is a PBE-GGA calculation of a geometry-optimized SmZnGa structure, from Alexandria.

```
data_SmZnGa
_chemical_formula_sum 'Sm2 Zn2 Ga2'
_symmetry_space_group_name_H-M 'P 63/m m c'
_symmetry_Int_Tables_number 194
_symmetry_space_group_name_Hall '-P 6c 2c'
_cell_length_a 4.4618
_cell_length_b 4.4618
_cell_length_c 7.4586
_cell_angle_alpha 90.00
_cell_angle_beta 90.00
_cell_angle_gamma 120.00
loop_
_atom_site_label
_atom_site_fract_x
_atom_site_fract_y
_atom_site_fract_z
_atom_site_occupancy
Sm1 0.0000 0.0000 0.0000 1
Zn1 0.3333 0.6667 0.2500 1
Ga1 0.3333 0.6667 0.7500 1
```

Computed properties:
E ... -21.40 eV for the cell shown
D(E_F) ... 0.524 states/eV per atom
Mass density ... 7.37 Mg/m³


The following is a PBE-GGA calculation of a geometry-optimized SmZn2Ga2 structure, from Alexandria.

```
data_SmZn2Ga2
_chemical_formula_sum 'Sm2 Zn4 Ga4'
_symmetry_space_group_name_H-M 'I 4/m m m'
_symmetry_Int_Tables_number 139
_symmetry_space_group_name_Hall '-I 4 2'
_cell_length_a 4.185
_cell_length_b 4.185
_cell_length_c 10.777
_cell_angle_alpha 90.00
_cell_angle_beta 90.00
_cell_angle_gamma 90.00
loop_
_atom_site_label
_atom_site_fract_x
_atom_site_fract_y
_atom_site_fract_z
_atom_site_occupancy
Sm1 0.000 0.000 0.000 1
Zn1 0.000 0.500 0.250 1
Ga1 0.000 0.000 0.386 1
```

Computed properties:
E ... -31.43 eV for the cell shown
D(E_F) ... 0.349 states/eV per atom
Mass density ... 7.40 Mg/m³


The following is a PBE-GGA calculation of a geometry-optimized SmZn4Ga structure, from Alexandria.

```
data_SmZn4Ga
_chemical_formula_sum 'Sm4 Zn16 Ga4'
_symmetry_space_group_name_H-M 'F -4 3 m'
_symmetry_Int_Tables_number 216
_symmetry_space_group_name_Hall 'F -4 2 3'
_cell_length_a 7.655
_cell_length_b 7.655
_cell_length_c 7.655
_cell_angle_alpha 90.00
_cell_angle_beta 90.00
_cell_angle_gamma 90.00
loop_
_atom_site_label
_atom_site_fract_x
_atom_site_fract_y
_atom_site_fract_z
_atom_site_occupancy
Sm1 0.000 0.000 0.000 1
Zn1 0.125 0.125 0.375 1
Ga1 0.250 0.250 0.750 1
```

Computed properties:
E ... -54.92 eV for the cell shown
D(E_F) ... 0.670 states/eV per atom
Mass density ... 7.13 Mg/m³


The following is a PBE-GGA calculation of a geometry-optimized Sm3Zn3Ga2 structure, from Alexandria.

```
data_Sm3Zn3Ga2
_chemical_formula_sum 'Sm12 Zn12 Ga8'
_symmetry_space_group_name_H-M 'C m c m'
_symmetry_Int_Tables_number 63
_symmetry_space_group_name_Hall '-C 2c 2'
_cell_length_a 4.470
_cell_length_b 10.649
_cell_length_c 14.874
_cell_angle_alpha 90.00
_cell_angle_beta 90.00
_cell_angle_gamma 90.00
loop_
_atom_site_label
_atom_site_fract_x
_atom_site_fract_y
_atom_site_fract_z
_atom_site_occupancy
Sm1 0.000 0.098 0.107 1
Sm2 0.000 0.380 0.250 1
Zn1 0.000 0.331 0.750 1
Zn2 0.000 0.386 0.035 1
Ga1 0.000 0.199 0.602 1
```

Computed properties:
E ... -111.38 eV for the cell shown
D(E_F) ... 0.662 states/eV per atom
Mass density ... 7.38 Mg/m³


The following is a PBE-GGA calculation of a geometry-optimized Sm4ZnGa12 structure, from Alexandria.

```
data_Sm4ZnGa12
_chemical_formula_sum 'Sm8 Zn2 Ga24'
_symmetry_space_group_name_H-M 'I m -3 m'
_symmetry_Int_Tables_number 229
_symmetry_space_group_name_Hall '-I 4 2 3'
_cell_length_a 8.794
_cell_length_b 8.794
_cell_length_c 8.794
_cell_angle_alpha 90.00
_cell_angle_beta 90.00
_cell_angle_gamma 90.00
loop_
_atom_site_label
_atom_site_fract_x
_atom_site_fract_y
_atom_site_fract_z
_atom_site_occupancy
Sm1 0.250 0.250 0.250 1
Zn1 0.000 0.000 0.000 1
Ga1 0.000 0.000 0.303 1
Ga2 0.000 0.250 0.500 1
```

Computed properties:
E ... -130.33 eV for the cell shown
D(E_F) ... 0.444 states/eV per atom
Mass density ... 7.34 Mg/m³


The following is a PBE-GGA calculation of a geometry-optimized Sm2Zn5Ga3 structure, from Alexandria.

```
data_Sm2Zn5Ga3
_chemical_formula_sum 'Sm2 Zn5 Ga3'
_symmetry_space_group_name_H-M 'P -4 m 2'
_symmetry_Int_Tables_number 115
_cell_length_a 4.230
_cell_length_b 4.230
_cell_length_c 10.583
_cell_angle_alpha 90.00
_cell_angle_beta 90.00
_cell_angle_gamma 90.00
loop_
_symmetry_equiv_pos_as_xyz
'x,y,z'
'y,-x,-z'
'-x,-y,z'
'-y,x,-z'
'-x,y,z'
'-y,-x,-z'
'x,-y,z'
'y,x,-z'
loop_
_atom_site_label
_atom_site_fract_x
_atom_site_fract_y
_atom_site_fract_z
_atom_site_occupancy
Sm1 0.000 0.500 0.249 1
Zn1 0.000 0.000 0.000 1
Zn2 0.000 0.000 0.500 1
Zn3 0.000 0.500 0.872 1
Zn4 0.500 0.500 0.000 1
Ga1 0.000 0.500 0.643 1
Ga2 0.500 0.500 0.500 1
```

Computed properties:
E ... -29.03 eV for the cell shown
D(E_F) ... 0.389 states/eV per atom
Energy above the lowest structure with this stoichiometry ... 29.6 meV per atom
Mass density ... 7.34 Mg/m³


The following is a PBE-GGA calculation of a geometry-optimized SmZnGa structure, from Alexandria.

```
data_SmZnGa
_chemical_formula_sum 'Sm2 Zn2 Ga2'
_symmetry_space_group_name_H-M 'I 4 m m'
_symmetry_Int_Tables_number 107
_symmetry_space_group_name_Hall 'I 4 -2'
_cell_length_a 3.391
_cell_length_b 3.391
_cell_length_c 11.094
_cell_angle_alpha 90.00
_cell_angle_beta 90.00
_cell_angle_gamma 90.00
loop_
_atom_site_label
_atom_site_fract_x
_atom_site_fract_y
_atom_site_fract_z
_atom_site_occupancy
Sm1 0.000 0.000 0.000 1
Zn1 0.000 0.000 0.687 1
Ga1 0.000 0.000 0.310 1
```

Computed properties:
E ... -19.88 eV for the cell shown
D(E_F) ... 0.520 states/eV per atom
Mass density ... 7.43 Mg/m³


Calculated formation enthalpy at 0 K, -0.521 -0.281 -0.460 -0.314 -0.455 -0.559 -0.478 -0.148 -0.476 -0.511 -0.415 -0.306 eV/atom (same order as the records).